(1)
DFT (PBE) results for crystalline LiFeSi at its relaxed geometry.

abc: 4.8692 7.3163 4.4693
angles: 90.00 122.51 90.00
Closest atoms and distances in Å follow each position.
Fractional coordinates of all 12 atoms:
Li1 0.7500 0.9655 0.7500  2 Li 2.31, 5 Fe 2.41-2.56, 3 Si 2.47-2.53
Li2 0.2500 0.0345 0.2500  2 Li 2.31, 5 Fe 2.41-2.56, 3 Si 2.47-2.53
Li3 0.7500 0.4655 0.2500  2 Li 2.31, 5 Fe 2.41-2.56, 3 Si 2.47-2.53
Li4 0.2500 0.5345 0.7500  2 Li 2.31, 5 Fe 2.41-2.56, 3 Si 2.47-2.53
Fe1 0.7500 0.6359 0.7500  5 Si 2.30-2.55, 5 Li 2.41-2.56
Fe2 0.2500 0.3641 0.2500  5 Si 2.30-2.55, 5 Li 2.41-2.56
Fe3 0.7500 0.1359 0.2500  5 Si 2.30-2.55, 5 Li 2.41-2.56
Fe4 0.2500 0.8641 0.7500  5 Si 2.30-2.55, 5 Li 2.41-2.56
Si1 0.7500 0.3035 0.7500  5 Fe 2.30-2.55, 3 Li 2.47-2.53, 2 Si 2.56
Si2 0.2500 0.6965 0.2500  5 Fe 2.30-2.55, 3 Li 2.47-2.53, 2 Si 2.56
Si3 0.7500 0.8035 0.2500  5 Fe 2.30-2.55, 3 Li 2.47-2.53, 2 Si 2.56
Si4 0.2500 0.1965 0.7500  5 Fe 2.30-2.55, 3 Li 2.47-2.53, 2 Si 2.56

## Properties
* total magnetization: 0.826 μB/f.u.
* crystal system: monoclinic
* formation energy (no corrections): -0.2032 eV per atom

=====

(2)
DFT (PBE) results for crystalline LiFe4Si at its relaxed geometry.

abc: 4.6794 4.6794 4.6794
angles: 60.00 60.00 60.00
Closest atoms and distances in Å follow each position.
Fractional coordinates of all 6 atoms:
Li1 0.7500 0.7500 0.7500  12 Fe 2.74, 4 Si 2.87
Fe1 0.8747 0.3751 0.3751  6 Fe 2.34
Fe2 0.3751 0.3751 0.8747  6 Fe 2.34
Fe3 0.3751 0.8747 0.3751  6 Fe 2.34
Fe4 0.3751 0.3751 0.3751  6 Fe 2.34
Si1 0.0000 0.0000 0.0000  12 Fe 2.74, 4 Li 2.87

## Properties
* total magnetization: 6.892 μB/f.u.
* crystal system: cubic
* formation energy (no corrections): 0.1375 eV per atom

=====

(3)
DFT (PBE) results for crystalline LiFe3Si at its relaxed geometry.

abc: 4.3310 4.3310 4.3310
angles: 90.00 90.00 90.00
Closest atoms and distances in Å follow each position.
Fractional coordinates of all 5 atoms:
Si1 0.0000 0.0000 0.0000  6 Fe 2.17
Fe1 0.0000 0.5000 0.0000  2 Si 2.17
Fe2 0.0000 0.0000 0.5000  2 Si 2.17
Fe3 0.5000 0.0000 0.0000  2 Si 2.17
Li1 0.5000 0.5000 0.5000  12 Fe 3.06

## Properties
* total magnetization: 6.959 μB/f.u.
* crystal system: cubic
* formation energy (no corrections): 0.6308 eV per atom

=====

(4)
DFT (PBE) results for crystalline LiFeSi at its relaxed geometry.

abc: 6.8963 2.7595 8.1983
angles: 90.00 111.16 90.00
Closest atoms and distances in Å follow each position.
Fractional coordinates of all 12 atoms:
Li1 0.4293 0.0000 0.8434  3 Li 2.40-2.51, 2 Fe 2.56
Li2 0.5707 0.0000 0.1566  3 Li 2.40-2.51, 2 Fe 2.56
Li3 0.4293 0.5000 0.3434  3 Li 2.40-2.51, 2 Fe 2.56
Li4 0.5707 0.5000 0.6566  3 Li 2.40-2.51, 2 Fe 2.56
Fe1 0.8938 0.0000 0.8244  5 Si 2.33-2.39, 2 Li 2.56, 2 Fe 2.61
Fe2 0.1062 0.0000 0.1756  5 Si 2.33-2.39, 2 Li 2.56, 2 Fe 2.61
Fe3 0.8938 0.5000 0.3244  5 Si 2.33-2.39, 2 Li 2.56, 2 Fe 2.61
Fe4 0.1062 0.5000 0.6756  5 Si 2.33-2.39, 2 Li 2.56, 2 Fe 2.61
Si1 0.1863 0.0000 0.4776  5 Fe 2.33-2.39
Si2 0.8137 0.0000 0.5224  5 Fe 2.33-2.39
Si3 0.1863 0.5000 0.9776  5 Fe 2.33-2.39
Si4 0.8137 0.5000 0.0224  5 Fe 2.33-2.39

## Properties
* total magnetization: 0.726 μB/f.u.
* crystal system: monoclinic
* formation energy (no corrections): -0.2326 eV per atom